! Zr2TcP, optimized geometry, DFT PBE; values from VASP
&SYSTEM
  ibrav = 0, nat = 4, ntyp = 3
/
ATOMIC_SPECIES
Zr 91.22 Zr.upf
P 30.97 P.upf
Tc 98.00 Tc.upf
ATOMIC_POSITIONS angstrom
Zr 0.000 0.000 4.539
P 1.700 1.700 3.047
Tc 1.700 1.700 0.000
Zr 0.000 0.000 1.556
CELL_PARAMETERS angstrom
3.400 0.000 0.000
0.000 3.400 0.000
0.000 0.000 6.094
! N(E_F) = 2.62 states/eV/f.u.
! E_tot = -0.6515 Ry per atom
! Theoretical density = 7.3 g cm⁻³
! Formation energy = -0.646 eV per atom